First-principles (PBE) data for a relaxed structure of Pm3TmPu2Te6, as listed in Alexandria.

Cell: 4.4027 8.8967 9.9131 Å, 103.44 102.83 90.00°
With the nearest neighbours (Å) after each atom.
Fractional positions:
Pm: 0.8307 0.1653 0.6615  6 Te 3.15-3.17
Te: 0.3378 0.9163 0.6755  1 Tm 3.05, 2 Pu 3.12, 3 Pm 3.15-3.16
Tm: 0.5000 0.0000 0.0000  6 Te 3.05-3.07
Te: 0.0007 0.7595 0.0015  2 Tm 3.07, 1 Pu 3.13, 3 Pm 3.17-3.19
Pm: 0.1693 0.8347 0.3385  6 Te 3.15-3.17
Te: 0.9993 0.2405 0.9985  2 Tm 3.07, 1 Pu 3.13, 3 Pm 3.17-3.19
Te: 0.3323 0.4188 0.6646  3 Pu 3.11-3.12, 3 Pm 3.15
Pu: 0.1661 0.3336 0.3321  6 Te 3.11-3.13
Pu: 0.8339 0.6664 0.6679  6 Te 3.11-3.13
Te: 0.6677 0.5812 0.3354  3 Pu 3.11-3.12, 3 Pm 3.15
Te: 0.6622 0.0837 0.3245  1 Tm 3.05, 2 Pu 3.12, 3 Pm 3.15-3.16
Pm: 0.5000 0.5000 0.0000  6 Te 3.15-3.19

Output
Theoretical density = 8.4 g cm⁻³
Total DFT energy (no corrections) = -6.802 eV/atom
N(E_F) = 23.81 states/eV/f.u.
Total moment = 11.9 μB/f.u.
Formation energy without anion corrections = -15.39 eV/f.u.

First-principles (PBE) data for a relaxed structure of Nd2TmMg5, as listed in Alexandria.

Cell: 5.2326 5.2326 8.7117 Å, 107.48 107.48 90.00°
With the nearest neighbours (Å) after each atom.
Fractional positions:
Mg: 0.8867 0.3867 0.7734  2 Mg 3.17, 2 Tm 3.17, 4 Nd 3.31-3.47
Nd: 0.7421 0.7421 0.4843  8 Mg 3.31-3.47, 4 Nd 3.71
Tm: 0.0000 0.0000 0.0000  8 Mg 3.17
Nd: 0.2579 0.2579 0.5157  8 Mg 3.31-3.47, 4 Nd 3.71
Mg: 0.6133 0.1133 0.2266  2 Mg 3.17, 2 Tm 3.17, 4 Nd 3.31-3.47
Mg: 0.1133 0.6133 0.2266  2 Tm 3.17, 2 Mg 3.17, 4 Nd 3.31-3.47
Mg: 0.5000 0.5000 0.0000  8 Mg 3.17
Mg: 0.3867 0.8867 0.7734  2 Mg 3.17, 2 Tm 3.17, 4 Nd 3.31-3.47

Output
Theoretical density = 4.5 g cm⁻³
Total DFT energy (no corrections) = -2.813 eV/atom
ΔE_f = -66 meV/atom
N(E_F) = 8.03 states/eV/f.u.
Total moment = 0.0 μB/f.u.

First-principles (PBE) data for a relaxed structure of Er5TlS4, as listed in Alexandria.

Cell: 3.8881 6.8788 8.9903 Å, 76.52 77.51 73.58°
With the nearest neighbours (Å) after each atom.
Fractional positions:
Tl: 0.0000 0.0000 0.0000  6 Er 2.94-2.98
Er: 0.0000 0.5000 0.5000  6 S 2.76-2.77
Er: 0.2037 0.9081 0.6845  5 S 2.73-2.78, 1 Tl 2.94
S: 0.2022 0.3827 0.2129  6 Er 2.71-2.93
S: 0.4037 0.7907 0.4018  6 Er 2.73-2.82
Er: 0.7963 0.0919 0.3155  5 S 2.73-2.78, 1 Tl 2.94
Er: 0.6122 0.6627 0.1130  4 S 2.71-2.93, 2 Tl 2.98
S: 0.5963 0.2093 0.5982  6 Er 2.73-2.82
Er: 0.3878 0.3373 0.8870  4 S 2.71-2.93, 2 Tl 2.98
S: 0.7978 0.6173 0.7871  6 Er 2.71-2.93

Output
Theoretical density = 8.8 g cm⁻³
Total DFT energy (no corrections) = -5.744 eV/atom
N(E_F) = 3.69 states/eV/f.u.
Total moment = 0.0 μB/f.u.
Formation energy without anion corrections = -15.75 eV/f.u.

First-principles (PBE) data for a relaxed structure of AgSbPdRh, as listed in Alexandria.

Cell: 4.5729 4.5729 4.5729 Å, 60.00 60.00 60.00°
With the nearest neighbours (Å) after each atom.
Fractional positions:
Pd: 0.0000 0.0000 0.0000  4 Ag 2.80, 4 Sb 2.80
Ag: 0.2500 0.2500 0.2500  4 Rh 2.80, 4 Pd 2.80
Rh: 0.5000 0.5000 0.5000  4 Sb 2.80, 4 Ag 2.80
Sb: 0.7500 0.7500 0.7500  4 Rh 2.80, 4 Pd 2.80

Output
Theoretical density = 10.8 g cm⁻³
Total DFT energy (no corrections) = -5.075 eV/atom
N(E_F) = 3.50 states/eV/f.u.
Total moment = 0.0 μB/f.u.
Formation energy without anion corrections = -0.78 eV/f.u.

Repeat the fourth record exactly.
First-principles (PBE) data for a relaxed structure of AgSbPdRh, as listed in Alexandria.

Cell: 4.5729 4.5729 4.5729 Å, 60.00 60.00 60.00°
With the nearest neighbours (Å) after each atom.
Fractional positions:
Pd: 0.0000 0.0000 0.0000  4 Ag 2.80, 4 Sb 2.80
Ag: 0.2500 0.2500 0.2500  4 Rh 2.80, 4 Pd 2.80
Rh: 0.5000 0.5000 0.5000  4 Sb 2.80, 4 Ag 2.80
Sb: 0.7500 0.7500 0.7500  4 Rh 2.80, 4 Pd 2.80

Output
Theoretical density = 10.8 g cm⁻³
Total DFT energy (no corrections) = -5.075 eV/atom
N(E_F) = 3.50 states/eV/f.u.
Total moment = 0.0 μB/f.u.
Formation energy without anion corrections = -0.78 eV/f.u.

Q: Which formula does entry 4 have?
A: AgSbPdRh